1.
# GGA-PBE Co2PCl, optimized geometry
# raw formation energy = 6.9 meV/atom
# calculated volume = 258.1 Å³ per cell
# energy above the most stable polymorph in this dataset = 227 meV per atom
data_Co2PCl
_space_group_name_H-M_alt 'I -4 2 d'
_space_group_IT_number 122
_space_group_name_Hall 'I -4 2bw'
_cell_length_a 5.071
_cell_length_b 5.071
_cell_length_c 10.040
_cell_angle_alpha 90.00
_cell_angle_beta 90.00
_cell_angle_gamma 90.00
loop_
_atom_site_label
_atom_site_fract_x
_atom_site_fract_y
_atom_site_fract_z
Co1 0.227 0.250 0.125
P1 0.000 0.000 0.000
Cl1 0.000 0.000 0.500

***

2.
# GGA-PBE CoP3Cl, optimized geometry
# raw formation energy = 617.7 meV/atom
# calculated volume = 86.0 Å³ per cell
# energy above the most stable polymorph in this dataset = 0 meV per atom
data_CoP3Cl
_space_group_name_H-M_alt 'P m -3 m'
_space_group_IT_number 221
_space_group_name_Hall '-P 4 2 3'
_cell_length_a 4.414
_cell_length_b 4.414
_cell_length_c 4.414
_cell_angle_alpha 90.00
_cell_angle_beta 90.00
_cell_angle_gamma 90.00
loop_
_atom_site_label
_atom_site_fract_x
_atom_site_fract_y
_atom_site_fract_z
Co1 0.000 0.000 0.000
P1 0.000 0.000 0.500
Cl1 0.500 0.500 0.500

***

3.
# GGA-PBE Co2PCl, optimized geometry
# raw formation energy = 23.8 meV/atom
# calculated volume = 68.3 Å³ per cell
# energy above the most stable polymorph in this dataset = 244 meV per atom
data_Co2PCl
_space_group_name_H-M_alt 'P m m 2'
_space_group_IT_number 25
_space_group_name_Hall 'P 2 -2'
_cell_length_a 3.044
_cell_length_b 3.088
_cell_length_c 7.272
_cell_angle_alpha 90.00
_cell_angle_beta 90.00
_cell_angle_gamma 90.00
loop_
_atom_site_label
_atom_site_fract_x
_atom_site_fract_y
_atom_site_fract_z
Co1 0.000 0.000 0.000
Co2 0.500 0.500 0.228
P1 0.500 0.500 0.922
Cl1 0.000 0.000 0.396

***

4.
# GGA-PBE CoPCl2, optimized geometry
# raw formation energy = 275.8 meV/atom
# calculated volume = 296.9 Å³ per cell
# energy above the most stable polymorph in this dataset = 864 meV per atom
data_CoPCl2
_space_group_name_H-M_alt 'R -3 m'
_space_group_IT_number 166
_space_group_name_Hall '-R 3 2"'
_cell_length_a 3.2350
_cell_length_b 3.2350
_cell_length_c 32.7528
_cell_angle_alpha 90.00
_cell_angle_beta 90.00
_cell_angle_gamma 120.00
loop_
_atom_site_label
_atom_site_fract_x
_atom_site_fract_y
_atom_site_fract_z
Co1 0.0000 0.0000 0.0000
P1 0.0000 0.0000 0.5000
Cl1 0.0000 0.0000 0.2882

***

5.
# GGA-PBE CoP2Cl, optimized geometry
# raw formation energy = -187.2 meV/atom
# calculated volume = 89.5 Å³ per cell
# energy above the most stable polymorph in this dataset = 0 meV per atom
data_CoP2Cl
_space_group_name_H-M_alt 'P 1 m 1'
_space_group_IT_number 6
_space_group_name_Hall 'P -2y'
_cell_length_a 3.985
_cell_length_b 3.212
_cell_length_c 7.091
_cell_angle_alpha 90.00
_cell_angle_beta 99.70
_cell_angle_gamma 90.00
loop_
_atom_site_label
_atom_site_fract_x
_atom_site_fract_y
_atom_site_fract_z
Co1 0.000 0.000 0.000
P1 0.287 0.500 0.268
P2 0.552 0.000 0.149
Cl1 0.908 0.500 0.775

***

6.
# GGA-PBE CoPPbCl2, optimized geometry
# raw formation energy = 816.4 meV/atom
# calculated volume = 138.0 Å³ per cell
# energy above the most stable polymorph in this dataset = 901 meV per atom
data_CoPPbCl2
_space_group_name_H-M_alt 'P 4/m m m'
_space_group_IT_number 123
_space_group_name_Hall '-P 4 2'
_cell_length_a 5.180
_cell_length_b 5.180
_cell_length_c 5.144
_cell_angle_alpha 90.00
_cell_angle_beta 90.00
_cell_angle_gamma 90.00
loop_
_atom_site_label
_atom_site_fract_x
_atom_site_fract_y
_atom_site_fract_z
Co1 0.000 0.000 0.000
P1 0.500 0.500 0.000
Pb1 0.500 0.500 0.500
Cl1 0.000 0.500 0.500

***

7.
# GGA-PBE CoPPbCl2, optimized geometry
# raw formation energy = -84.3 meV/atom
# calculated volume = 101.9 Å³ per cell
# energy above the most stable polymorph in this dataset = 0 meV per atom
data_CoPPbCl2
_space_group_name_H-M_alt 'P 4/m m m'
_space_group_IT_number 123
_space_group_name_Hall '-P 4 2'
_cell_length_a 4.713
_cell_length_b 4.713
_cell_length_c 4.586
_cell_angle_alpha 90.00
_cell_angle_beta 90.00
_cell_angle_gamma 90.00
loop_
_atom_site_label
_atom_site_fract_x
_atom_site_fract_y
_atom_site_fract_z
Co1 0.000 0.000 0.000
P1 0.000 0.000 0.500
Pb1 0.500 0.500 0.500
Cl1 0.000 0.500 0.000

***

8.
# GGA-PBE CoP2PdCl, optimized geometry
# raw formation energy = 984.3 meV/atom
# calculated volume = 106.3 Å³ per cell
# energy above the most stable polymorph in this dataset = 534 meV per atom
data_CoP2PdCl
_space_group_name_H-M_alt 'P 4/m m m'
_space_group_IT_number 123
_space_group_name_Hall '-P 4 2'
_cell_length_a 4.615
_cell_length_b 4.615
_cell_length_c 4.991
_cell_angle_alpha 90.00
_cell_angle_beta 90.00
_cell_angle_gamma 90.00
loop_
_atom_site_label
_atom_site_fract_x
_atom_site_fract_y
_atom_site_fract_z
Co1 0.000 0.000 0.000
P1 0.000 0.500 0.500
Pd1 0.500 0.500 0.500
Cl1 0.500 0.500 0.000

***

9.
# GGA-PBE CoPPd2Cl, optimized geometry
# raw formation energy = 796.2 meV/atom
# calculated volume = 91.4 Å³ per cell
data_CoPPd2Cl
_space_group_name_H-M_alt 'P 4/m m m'
_space_group_IT_number 123
_space_group_name_Hall '-P 4 2'
_cell_length_a 4.803
_cell_length_b 4.803
_cell_length_c 3.962
_cell_angle_alpha 90.00
_cell_angle_beta 90.00
_cell_angle_gamma 90.00
loop_
_atom_site_label
_atom_site_fract_x
_atom_site_fract_y
_atom_site_fract_z
Co1 0.000 0.000 0.000
P1 0.500 0.500 0.500
Pd1 0.000 0.500 0.000
Cl1 0.000 0.000 0.500

***

10.
# GGA-PBE CoP2PdCl, optimized geometry
# raw formation energy = 450.0 meV/atom
# calculated volume = 87.4 Å³ per cell
# energy above the most stable polymorph in this dataset = 0 meV per atom
data_CoP2PdCl
_space_group_name_H-M_alt 'P 4/m m m'
_space_group_IT_number 123
_space_group_name_Hall '-P 4 2'
_cell_length_a 4.246
_cell_length_b 4.246
_cell_length_c 4.845
_cell_angle_alpha 90.00
_cell_angle_beta 90.00
_cell_angle_gamma 90.00
loop_
_atom_site_label
_atom_site_fract_x
_atom_site_fract_y
_atom_site_fract_z
Co1 0.000 0.000 0.000
P1 0.000 0.500 0.000
Pd1 0.500 0.500 0.500
Cl1 0.000 0.000 0.500

***

11.
# GGA-PBE Pm8Co3PCl4, optimized geometry
# raw formation energy = -987.7 meV/atom
# calculated volume = 1229.4 Å³ per cell
data_Pm8Co3PCl4
_space_group_name_H-M_alt 'R -3 m'
_space_group_IT_number 166
_space_group_name_Hall '-R 3 2"'
_cell_length_a 8.0277
_cell_length_b 8.0277
_cell_length_c 22.0278
_cell_angle_alpha 90.00
_cell_angle_beta 90.00
_cell_angle_gamma 120.00
loop_
_atom_site_label
_atom_site_fract_x
_atom_site_fract_y
_atom_site_fract_z
Pm1 0.0000 0.0000 0.2342
Pm2 0.0128 0.5064 0.7655
Co1 0.0000 0.5000 0.5000
P1 0.0000 0.0000 0.5000
Cl1 0.0000 0.0000 0.0000
Cl2 0.0000 0.5000 0.0000

***

12.
# GGA-PBE Pr6Co2PCl3, optimized geometry
# raw formation energy = -1050.8 meV/atom
# calculated volume = 646.0 Å³ per cell
data_Pr6Co2PCl3
_space_group_name_H-M_alt 'C 1 2/m 1'
_space_group_IT_number 12
_space_group_name_Hall '-C 2y'
_cell_length_a 7.091
_cell_length_b 12.277
_cell_length_c 7.784
_cell_angle_alpha 90.00
_cell_angle_beta 107.57
_cell_angle_gamma 90.00
loop_
_atom_site_label
_atom_site_fract_x
_atom_site_fract_y
_atom_site_fract_z
Pr1 0.221 0.000 0.205
Pr2 0.243 0.326 0.205
Co1 0.000 0.167 0.000
P1 0.000 0.500 0.000
Cl1 0.000 0.000 0.500
Cl2 0.000 0.337 0.500

***

13.
# GGA-PBE CoP2PtCl, optimized geometry
# raw formation energy = 627.4 meV/atom
# calculated volume = 83.9 Å³ per cell
# energy above the most stable polymorph in this dataset = 0 meV per atom
data_CoP2PtCl
_space_group_name_H-M_alt 'P 4/m m m'
_space_group_IT_number 123
_space_group_name_Hall '-P 4 2'
_cell_length_a 4.301
_cell_length_b 4.301
_cell_length_c 4.536
_cell_angle_alpha 90.00
_cell_angle_beta 90.00
_cell_angle_gamma 90.00
loop_
_atom_site_label
_atom_site_fract_x
_atom_site_fract_y
_atom_site_fract_z
Co1 0.000 0.000 0.000
P1 0.000 0.500 0.000
Pt1 0.500 0.500 0.500
Cl1 0.000 0.000 0.500

***

14.
# GGA-PBE Rb2CoPCl, optimized geometry
# raw formation energy = 208.5 meV/atom
# calculated volume = 174.6 Å³ per cell
data_Rb2CoPCl
_space_group_name_H-M_alt 'P 4/m m m'
_space_group_IT_number 123
_space_group_name_Hall '-P 4 2'
_cell_length_a 6.531
_cell_length_b 6.531
_cell_length_c 4.094
_cell_angle_alpha 90.00
_cell_angle_beta 90.00
_cell_angle_gamma 90.00
loop_
_atom_site_label
_atom_site_fract_x
_atom_site_fract_y
_atom_site_fract_z
Rb1 0.000 0.500 0.000
Co1 0.000 0.000 0.000
P1 0.500 0.500 0.500
Cl1 0.000 0.000 0.500

***

15.
# GGA-PBE CoP2SCl, optimized geometry
# raw formation energy = 578.0 meV/atom
# calculated volume = 86.0 Å³ per cell
# energy above the most stable polymorph in this dataset = 0 meV per atom
data_CoP2SCl
_space_group_name_H-M_alt 'P 4/m m m'
_space_group_IT_number 123
_space_group_name_Hall '-P 4 2'
_cell_length_a 4.422
_cell_length_b 4.422
_cell_length_c 4.395
_cell_angle_alpha 90.00
_cell_angle_beta 90.00
_cell_angle_gamma 90.00
loop_
_atom_site_label
_atom_site_fract_x
_atom_site_fract_y
_atom_site_fract_z
Co1 0.000 0.000 0.000
P1 0.000 0.500 0.000
S1 0.500 0.500 0.500
Cl1 0.000 0.000 0.500

***

16.
# GGA-PBE CoP2SCl, optimized geometry
# raw formation energy = 1254.5 meV/atom
# calculated volume = 97.7 Å³ per cell
# energy above the most stable polymorph in this dataset = 676 meV per atom
data_CoP2SCl
_space_group_name_H-M_alt 'P 4/m m m'
_space_group_IT_number 123
_space_group_name_Hall '-P 4 2'
_cell_length_a 4.557
_cell_length_b 4.557
_cell_length_c 4.704
_cell_angle_alpha 90.00
_cell_angle_beta 90.00
_cell_angle_gamma 90.00
loop_
_atom_site_label
_atom_site_fract_x
_atom_site_fract_y
_atom_site_fract_z
Co1 0.000 0.000 0.000
P1 0.000 0.500 0.500
S1 0.500 0.500 0.500
Cl1 0.500 0.500 0.000

***

17.
# GGA-PBE CoPS2Cl, optimized geometry
# raw formation energy = 1587.5 meV/atom
# calculated volume = 97.5 Å³ per cell
# energy above the most stable polymorph in this dataset = 1026 meV per atom
data_CoPS2Cl
_space_group_name_H-M_alt 'P 4/m m m'
_space_group_IT_number 123
_space_group_name_Hall '-P 4 2'
_cell_length_a 4.600
_cell_length_b 4.600
_cell_length_c 4.610
_cell_angle_alpha 90.00
_cell_angle_beta 90.00
_cell_angle_gamma 90.00
loop_
_atom_site_label
_atom_site_fract_x
_atom_site_fract_y
_atom_site_fract_z
Co1 0.000 0.000 0.000
P1 0.500 0.500 0.000
S1 0.000 0.500 0.500
Cl1 0.500 0.500 0.500

***

18.
# GGA-PBE CoPS2Cl, optimized geometry
# raw formation energy = 561.2 meV/atom
# calculated volume = 90.6 Å³ per cell
# energy above the most stable polymorph in this dataset = 0 meV per atom
data_CoPS2Cl
_space_group_name_H-M_alt 'P 4/m m m'
_space_group_IT_number 123
_space_group_name_Hall '-P 4 2'
_cell_length_a 4.266
_cell_length_b 4.266
_cell_length_c 4.980
_cell_angle_alpha 90.00
_cell_angle_beta 90.00
_cell_angle_gamma 90.00
loop_
_atom_site_label
_atom_site_fract_x
_atom_site_fract_y
_atom_site_fract_z
Co1 0.000 0.000 0.000
P1 0.000 0.000 0.500
S1 0.000 0.500 0.000
Cl1 0.500 0.500 0.500

***

19.
# GGA-PBE CoPS2Cl, optimized geometry
# raw formation energy = 580.2 meV/atom
# calculated volume = 86.7 Å³ per cell
# energy above the most stable polymorph in this dataset = 19 meV per atom
data_CoPS2Cl
_space_group_name_H-M_alt 'P 4/m m m'
_space_group_IT_number 123
_space_group_name_Hall '-P 4 2'
_cell_length_a 4.440
_cell_length_b 4.440
_cell_length_c 4.399
_cell_angle_alpha 90.00
_cell_angle_beta 90.00
_cell_angle_gamma 90.00
loop_
_atom_site_label
_atom_site_fract_x
_atom_site_fract_y
_atom_site_fract_z
Co1 0.000 0.000 0.000
P1 0.500 0.500 0.500
S1 0.000 0.500 0.000
Cl1 0.000 0.000 0.500

***

20.
# GGA-PBE CoP2SCl, optimized geometry
# raw formation energy = 1632.3 meV/atom
# calculated volume = 96.2 Å³ per cell
# energy above the most stable polymorph in this dataset = 1054 meV per atom
data_CoP2SCl
_space_group_name_H-M_alt 'P 4/m m m'
_space_group_IT_number 123
_space_group_name_Hall '-P 4 2'
_cell_length_a 4.502
_cell_length_b 4.502
_cell_length_c 4.745
_cell_angle_alpha 90.00
_cell_angle_beta 90.00
_cell_angle_gamma 90.00
loop_
_atom_site_label
_atom_site_fract_x
_atom_site_fract_y
_atom_site_fract_z
Co1 0.000 0.000 0.000
P1 0.000 0.500 0.500
S1 0.500 0.500 0.000
Cl1 0.500 0.500 0.500